# Mg2MoAs PBE relaxed
# DOS at the Fermi energy   0.62 states/eV per atom
# Calculated total energy   -4.5260 eV per atom
data_Mg2MoAs
_chemical_formula_sum 'Mg4 Mo2 As2'
_cell_length_a 5.472
_cell_length_b 9.031
_cell_length_c 2.849
_cell_angle_alpha 90.00
_cell_angle_beta 95.40
_cell_angle_gamma 90.00
_space_group_name_H-M_alt 'C 1 2/m 1'
_space_group_IT_number 12
loop_
_space_group_symop_operation_xyz
'x,y,z'
'-x,-y,-z'
'-x,y,-z'
'x,-y,z'
'x+1/2,y+1/2,z'
'-x+1/2,-y+1/2,-z'
'-x+1/2,y+1/2,-z'
'x+1/2,-y+1/2,z'
loop_
_atom_site_label
_atom_site_fract_x
_atom_site_fract_y
_atom_site_fract_z
_atom_site_occupancy
Mg1 0.250 0.250 0.000 1
Mo1 0.000 0.000 0.500 1
As1 0.000 0.500 0.500 1